This record from Alexandria describes a geometry-optimized VZnSn2O structure. The functional is GGA+U.

Relative energy among the computed polymorphs (eV/f.u.): 0.00
Magnetization (μB per formula unit): 0.1

Lattice parameters (Å, degrees): 5.1458 5.1458 3.8225 90.00 90.00 90.00
Atoms (fractional coordinates):
V (0.0000, 0.0000, 0.0000)
Zn (0.5000, 0.5000, 0.0000)
Sn (0.0000, 0.5000, 0.5000)
Sn (0.5000, 0.0000, 0.5000)
O (0.0000, 0.0000, 0.5000)